# Ta3BeCo2

Ta3BeCo2 after structural relaxation (PBE, Alexandria).

a b c (Å): 9.789 3.834 9.052
angles (deg): 90.00 90.00 90.00
Element x y z (fractional)
Ta  0.059  0.250  0.127
Ta  0.121  0.750  0.577
Ta  0.195  0.250  0.816
Ta  0.305  0.750  0.316
Ta  0.379  0.250  0.077
Ta  0.441  0.750  0.627
Ta  0.559  0.250  0.373
Ta  0.621  0.750  0.923
Ta  0.695  0.250  0.684
Ta  0.805  0.750  0.184
Ta  0.879  0.250  0.423
Ta  0.941  0.750  0.873
Be  0.143  0.250  0.389
Be  0.357  0.750  0.889
Be  0.643  0.250  0.111
Be  0.857  0.750  0.611
Co  0.034  0.750  0.316
Co  0.175  0.750  0.022
Co  0.325  0.250  0.522
Co  0.466  0.250  0.816
Co  0.534  0.750  0.184
Co  0.675  0.750  0.478
Co  0.825  0.250  0.978
Co  0.966  0.250  0.684

Values from the calculation:
Final energy in eV/atom: -9.03
Calculated density in g/cm3: 13.094
ΔE_f in eV per atom: -0.109